(1)
! Ca2ScP, relaxed, DFT PBE-GGA; values from VASP
&SYSTEM
  ibrav = 0, nat = 4, ntyp = 3
/
ATOMIC_SPECIES
Ca 40.08 Ca.upf
Sc 44.96 Sc.upf
P 30.97 P.upf
CELL_PARAMETERS angstrom
3.9919 0.0000 0.0000
0.0000 3.9940 0.0883
0.0000 3.4769 6.3041
ATOMIC_POSITIONS crystal
Ca 0.0000 0.4852 0.4728
Ca 0.0000 0.0148 0.0272
Sc 0.5000 0.7500 0.7500
P 0.5000 0.2500 0.2500
! - Uncorrected energy: -4.28 eV/atom
! - Magnetization: 0.0 μB per formula unit

(2)
! KAl2TlBr8, relaxed, DFT PBE-GGA; values from VASP
&SYSTEM
  ibrav = 0, nat = 12, ntyp = 4
/
ATOMIC_SPECIES
Br 79.90 Br.upf
K 39.10 K.upf
Al 26.98 Al.upf
Tl 204.38 Tl.upf
CELL_PARAMETERS angstrom
-0.8528 7.0039 1.3834
-3.4679 4.1960 -4.6972
-10.0340 1.7786 3.4939
ATOMIC_POSITIONS crystal
Br 0.9349 0.5386 0.1984
Br 0.0651 0.4614 0.8016
Br 0.1639 0.1639 0.5084
Br 0.6719 0.0651 0.8016
Br 0.3281 0.9349 0.1984
Br 0.8361 0.8361 0.4916
Br 0.5386 0.3281 0.1984
Br 0.4614 0.6719 0.8016
K 0.0000 0.0000 0.0000
Al 0.7586 0.7586 0.7243
Al 0.2414 0.2414 0.2757
Tl 0.5000 0.5000 0.5000
! - Formation energy from raw total energies: -118 kJ per mole of atoms
! - Uncorrected energy: -3.25 eV/atom
! - Magnetization: 0.0 μB per formula unit

(3)
! Pm2HgRuO8, relaxed, DFT PBE-GGA; values from VASP
&SYSTEM
  ibrav = 0, nat = 12, ntyp = 4
/
ATOMIC_SPECIES
O 16.00 O.upf
Pm 145.00 Pm.upf
Hg 200.59 Hg.upf
Ru 101.07 Ru.upf
CELL_PARAMETERS angstrom
-0.0009 -4.4685 -1.7286
2.9972 1.6456 -3.3116
6.1769 -2.0202 3.9245
ATOMIC_POSITIONS crystal
O 0.7270 0.7226 0.9501
O 0.2549 0.8805 0.8210
O 0.1188 0.7478 0.1807
O 0.7451 0.1195 0.1790
O 0.8812 0.2522 0.8193
O 0.2730 0.2774 0.0499
O 0.3084 0.3079 0.4805
O 0.6916 0.6921 0.5195
Pm 0.5565 0.5593 0.2483
Pm 0.4435 0.4407 0.7517
Hg 0.0000 0.0000 0.5000
Ru 0.0000 0.0000 0.0000
! - Formation energy from raw total energies: -161 kJ per mole of atoms
! - Uncorrected energy: -6.56 eV/atom
! - Magnetization: 0.0 μB per formula unit